The following is a PBE calculation of an optimized crystal structure of Tb2Zn2GaPt5, from Alexandria.

abc: 9.672 9.672 3.756
angles: 90.00 90.00 90.00
Space group P4/mbm (No. 127)
Inequivalent atoms, fractional coordinates:
Tb: 0.175 0.325 0.000 (multiplicity 4)
Zn: 0.123 0.623 0.000 (multiplicity 4)
Ga: 0.000 0.000 0.000 (multiplicity 2)
Pt: 0.000 0.500 0.500 (multiplicity 2)
Pt: 0.063 0.798 0.500 (multiplicity 8)

Values from the calculation:
Total magnetic moment (μB per formula unit): 0.0
Fermi-level density of states (states/eV/f.u.): 3.80
ΔE_f (meV per atom): -836

=====

The following is a PBE calculation of an optimized crystal structure of GaCoTe2, from Alexandria.

abc: 6.032 6.032 12.026
angles: 90.00 90.00 90.00
Space group I-42d (No. 122)
Inequivalent atoms, fractional coordinates:
Ga: 0.000 0.000 0.000 (multiplicity 4)
Co: 0.000 0.000 0.500 (multiplicity 4)
Te: 0.217 0.250 0.625 (multiplicity 8)

Values from the calculation:
Total magnetic moment (μB per formula unit): 1.6
Fermi-level density of states (states/eV/f.u.): 3.15
Formation energy (no corrections) (eV per atom): -0.072

=====

The following is a PBE calculation of an optimized crystal structure of La2PrHoSb4, from Alexandria.

abc: 7.868 4.551 7.875
angles: 90.00 109.51 90.00
Space group P2/m (No. 10)
Inequivalent atoms, fractional coordinates:
La: 0.000 0.000 0.000 (multiplicity 1)
La: 0.000 0.500 0.500 (multiplicity 1)
Pr: 0.500 0.000 0.500 (multiplicity 1)
Ho: 0.500 0.500 0.000 (multiplicity 1)
Sb: 0.257 0.500 0.247 (multiplicity 2)
Sb: 0.261 0.000 0.759 (multiplicity 2)

Values from the calculation:
Total magnetic moment (μB per formula unit): 0.0
Fermi-level density of states (states/eV/f.u.): 0.95
Formation energy (no corrections) (eV per atom): -1.207

=====

The following is a PBE calculation of an optimized crystal structure of AcTbNi, from Alexandria.

abc: 3.825 6.684 8.507
angles: 112.73 102.96 90.02
Space group P-1 (No. 2)
Inequivalent atoms, fractional coordinates:
Ac: 0.127 0.127 0.259 (multiplicity 2)
Tb: 0.390 0.390 0.776 (multiplicity 2)
Ni: 0.000 0.320 0.000 (multiplicity 2)

Values from the calculation:
Total magnetic moment (μB per formula unit): 0.0
Energy relative to the lowest polymorph listed for this composition (meV per atom): 0
Fermi-level density of states (states/eV/f.u.): 3.78
ΔE_f (meV per atom): -165

=====

The following is a PBE calculation of an optimized crystal structure of La4Sb2Rh, from Alexandria.

abc: 7.015 6.848 9.811
angles: 90.00 109.55 90.00
Space group P2_1/m (No. 11)
Inequivalent atoms, fractional coordinates:
La: 0.019 0.006 0.265 (multiplicity 4)
La: 0.385 0.750 0.077 (multiplicity 2)
La: 0.432 0.750 0.625 (multiplicity 2)
Sb: 0.218 0.250 0.044 (multiplicity 2)
Sb: 0.243 0.250 0.571 (multiplicity 2)
Rh: 0.341 0.750 0.331 (multiplicity 2)

Values from the calculation:
Total magnetic moment (μB per formula unit): 0.0
Fermi-level density of states (states/eV/f.u.): 6.18
Formation energy (no corrections) (eV per atom): -0.880

=====

The following is a PBE calculation of an optimized crystal structure of LiCuAg2, from Alexandria.

abc: 2.747 4.891 10.521
angles: 90.00 90.00 90.00
Space group Immm (No. 71)
Inequivalent atoms, fractional coordinates:
Li: 0.000 0.000 0.000 (multiplicity 2)
Cu: 0.000 0.000 0.500 (multiplicity 2)
Ag: 0.000 0.000 0.257 (multiplicity 4)

Values from the calculation:
Total magnetic moment (μB per formula unit): 0.0
Fermi-level density of states (states/eV/f.u.): 1.16
ΔE_f (meV per atom): 187

=====

The following is a PBE calculation of an optimized crystal structure of TmLuScZn, from Alexandria.

abc: 7.274 7.274 7.274
angles: 90.00 90.00 90.00
Space group F-43m (No. 216)
Inequivalent atoms, fractional coordinates:
Tm: 0.000 0.000 0.000 (multiplicity 4)
Lu: 0.000 0.000 0.500 (multiplicity 4)
Sc: 0.250 0.250 0.750 (multiplicity 4)
Zn: 0.250 0.250 0.250 (multiplicity 4)

Values from the calculation:
Total magnetic moment (μB per formula unit): 0.0
Fermi-level density of states (states/eV/f.u.): 4.40
ΔE_f (meV per atom): 7

=====

The following is a PBE calculation of an optimized crystal structure of GaHgPS2, from Alexandria.

abc: 4.700 4.700 5.033
angles: 90.00 90.00 90.00
Space group P4/mmm (No. 123)
Inequivalent atoms, fractional coordinates:
Ga: 0.000 0.000 0.000 (multiplicity 1)
Hg: 0.500 0.500 0.000 (multiplicity 1)
P: 0.500 0.500 0.500 (multiplicity 1)
S: 0.000 0.500 0.500 (multiplicity 2)

Values from the calculation:
Total magnetic moment (μB per formula unit): 0.0
Energy relative to the lowest polymorph listed for this composition (meV per atom): 0
Fermi-level density of states (states/eV/f.u.): 1.96
Formation energy (no corrections) (eV per atom): 0.273

=====

The following is a PBE calculation of an optimized crystal structure of In5H2Br4, from Alexandria.

abc: 18.802 3.995 8.444
angles: 90.00 95.77 90.00
Space group C2/m (No. 12)
Inequivalent atoms, fractional coordinates:
In: 0.000 0.000 0.000 (multiplicity 2)
In: 0.125 0.500 0.480 (multiplicity 4)
In: 0.148 0.500 0.075 (multiplicity 4)
H: 0.130 0.000 0.468 (multiplicity 4)
Br: 0.025 0.500 0.718 (multiplicity 4)
Br: 0.232 0.500 0.790 (multiplicity 4)

Values from the calculation:
Total magnetic moment (μB per formula unit): 0.0
Fermi-level density of states (states/eV/f.u.): 1.76
Total DFT energy (no corrections) (eV per cell): -61.14

=====

The following is a PBE calculation of an optimized crystal structure of MgAlO, from Alexandria.

abc: 13.661 3.021 5.011
angles: 90.00 111.35 90.00
Space group Cm (No. 8)
Inequivalent atoms, fractional coordinates:
Mg: 0.000 0.000 0.000 (multiplicity 2)
Mg: 0.250 0.000 0.697 (multiplicity 2)
Al: 0.047 0.500 0.559 (multiplicity 2)
Al: 0.354 0.500 0.293 (multiplicity 2)
O: 0.293 0.000 0.354 (multiplicity 2)
O: 0.338 0.500 0.922 (multiplicity 2)

Values from the calculation:
Total magnetic moment (μB per formula unit): 0.0
Energy relative to the lowest polymorph listed for this composition (meV per atom): 0
Fermi-level density of states (states/eV/f.u.): 0.74
Formation energy (no corrections) (eV per atom): -1.534

=====

The following is a PBE calculation of an optimized crystal structure of GeBi2TeS, from Alexandria.

abc: 5.410 5.410 5.247
angles: 90.00 90.00 90.00
Space group P4/mmm (No. 123)
Inequivalent atoms, fractional coordinates:
Ge: 0.000 0.000 0.000 (multiplicity 1)
Bi: 0.000 0.500 0.500 (multiplicity 2)
Te: 0.500 0.500 0.000 (multiplicity 1)
S: 0.500 0.500 0.500 (multiplicity 1)

Values from the calculation:
Total magnetic moment (μB per formula unit): 0.0
Fermi-level density of states (states/eV/f.u.): 4.18
Formation energy (no corrections) (eV per atom): 0.545

=====

The following is a PBE calculation of an optimized crystal structure of CdInPb4, from Alexandria.

abc: 4.863 14.646 9.981
angles: 90.00 90.00 90.00
Space group Cmc2_1 (No. 36)
Inequivalent atoms, fractional coordinates:
Cd: 0.000 0.167 0.000 (multiplicity 4)
In: 0.000 0.332 0.250 (multiplicity 4)
Pb: 0.000 0.003 0.750 (multiplicity 4)
Pb: 0.000 0.171 0.502 (multiplicity 4)
Pb: 0.000 0.329 0.751 (multiplicity 4)
Pb: 0.000 0.493 0.501 (multiplicity 4)

Values from the calculation:
Total magnetic moment (μB per formula unit): 0.0
Energy relative to the lowest polymorph listed for this composition (meV per atom): 0
Fermi-level density of states (states/eV/f.u.): 2.41
ΔE_f (meV per atom): 23

=====

The following is a PBE calculation of an optimized crystal structure of Ho2ErN3, from Alexandria.

abc: 6.886 4.868 10.331
angles: 90.00 90.00 90.00
Space group Pnma (No. 62)
Inequivalent atoms, fractional coordinates:
Ho: 0.125 0.250 0.083 (multiplicity 4)
Ho: 0.125 0.250 0.750 (multiplicity 4)
Er: 0.125 0.250 0.417 (multiplicity 4)
N: 0.124 0.750 0.417 (multiplicity 4)
N: 0.125 0.750 0.750 (multiplicity 4)
N: 0.126 0.750 0.083 (multiplicity 4)

Values from the calculation:
Total magnetic moment (μB per formula unit): 0.0
Fermi-level density of states (states/eV/f.u.): 0.25
Formation energy (no corrections) (eV per atom): -1.758

=====

The following is a PBE calculation of an optimized crystal structure of PrSmCo, from Alexandria.

abc: 3.464 6.963 7.034
angles: 104.19 104.19 90.13
Space group P-1 (No. 2)
Inequivalent atoms, fractional coordinates:
Pr: 0.126 0.064 0.252 (multiplicity 2)
Sm: 0.125 0.563 0.251 (multiplicity 2)
Co: 0.500 0.263 0.001 (multiplicity 2)

Values from the calculation:
Total magnetic moment (μB per formula unit): 0.6
Energy relative to the lowest polymorph listed for this composition (meV per atom): 86
Fermi-level density of states (states/eV/f.u.): 3.14
ΔE_f (meV per atom): 21

=====

The following is a PBE calculation of an optimized crystal structure of Co2AgMo, from Alexandria.

abc: 2.708 4.471 4.709
angles: 90.00 90.00 90.00
Space group Pmmm (No. 47)
Inequivalent atoms, fractional coordinates:
Co: 0.000 0.000 0.000 (multiplicity 1)
Co: 0.500 0.000 0.500 (multiplicity 1)
Ag: 0.000 0.500 0.500 (multiplicity 1)
Mo: 0.500 0.500 0.000 (multiplicity 1)

Values from the calculation:
Total magnetic moment (μB per formula unit): 3.3
Energy relative to the lowest polymorph listed for this composition (meV per atom): 348
Fermi-level density of states (states/eV/f.u.): 5.76
ΔE_f (meV per atom): 633

=====

The following is a PBE calculation of an optimized crystal structure of NaAcPb4, from Alexandria.

abc: 9.302 9.302 9.302
angles: 90.00 90.00 90.00
Space group F-43m (No. 216)
Inequivalent atoms, fractional coordinates:
Na: 0.000 0.000 0.000 (multiplicity 4)
Ac: 0.250 0.250 0.250 (multiplicity 4)
Pb: 0.124 0.124 0.624 (multiplicity 16)

Values from the calculation:
Total magnetic moment (μB per formula unit): 0.0
Fermi-level density of states (states/eV/f.u.): 1.39
ΔE_f (meV per atom): -249

=====

The following is a PBE calculation of an optimized crystal structure of Pm4IrSe2, from Alexandria.

abc: 3.951 13.637 14.476
angles: 90.00 90.00 90.00
Space group Cmcm (No. 63)
Inequivalent atoms, fractional coordinates:
Pm: 0.000 0.000 0.000 (multiplicity 4)
Pm: 0.000 0.294 0.128 (multiplicity 8)
Pm: 0.000 0.456 0.750 (multiplicity 4)
Ir: 0.000 0.106 0.750 (multiplicity 4)
Se: 0.000 0.359 0.566 (multiplicity 8)

Values from the calculation:
Total magnetic moment (μB per formula unit): 0.0
Fermi-level density of states (states/eV/f.u.): 5.38
Formation energy (no corrections) (eV per atom): -1.226

=====

The following is a PBE calculation of an optimized crystal structure of La6Ge2Te3As, from Alexandria.

abc: 19.740 4.481 9.080
angles: 90.00 104.32 90.00
Space group C2/m (No. 12)
Inequivalent atoms, fractional coordinates:
La: 0.006 0.000 0.237 (multiplicity 4)
La: 0.162 0.500 0.098 (multiplicity 4)
La: 0.172 0.500 0.569 (multiplicity 4)
Ge: 0.166 0.000 0.331 (multiplicity 4)
Te: 0.000 0.500 0.500 (multiplicity 2)
Te: 0.166 0.000 0.833 (multiplicity 4)
As: 0.000 0.500 0.000 (multiplicity 2)

Values from the calculation:
Total magnetic moment (μB per formula unit): 0.0
Fermi-level density of states (states/eV/f.u.): 2.73
Formation energy (no corrections) (eV per atom): -1.417

=====

The following is a PBE calculation of an optimized crystal structure of Pa2Os, from Alexandria.

abc: 6.411 4.133 10.023
angles: 90.00 90.00 90.00
Space group Pnma (No. 62)
Inequivalent atoms, fractional coordinates:
Pa: 0.053 0.250 0.199 (multiplicity 4)
Pa: 0.201 0.250 0.572 (multiplicity 4)
Os: 0.247 0.750 0.388 (multiplicity 4)

Values from the calculation:
Total magnetic moment (μB per formula unit): 0.0
Fermi-level density of states (states/eV/f.u.): 3.75
ΔE_f (meV per atom): -203

=====

The following is a PBE calculation of an optimized crystal structure of Sc3Ga4Tc2, from Alexandria.

abc: 10.020 4.421 8.252
angles: 90.00 120.69 90.00
Space group C2/m (No. 12)
Inequivalent atoms, fractional coordinates:
Sc: 0.000 0.000 0.000 (multiplicity 2)
Sc: 0.162 0.500 0.677 (multiplicity 4)
Ga: 0.067 0.000 0.392 (multiplicity 4)
Ga: 0.185 0.500 0.032 (multiplicity 4)
Tc: 0.144 0.500 0.318 (multiplicity 4)

Values from the calculation:
Total magnetic moment (μB per formula unit): 0.0
Fermi-level density of states (states/eV/f.u.): 6.18
ΔE_f (meV per atom): -461